VASP calculation (PBE) on crystalline Te2MoPb at its relaxed geometry.

a b c (Å): 5.3369 5.3369 5.3387
angles (deg): 70.18 70.18 108.82
Atoms (fractional coordinates):
Mo 0.5000 0.0000 0.5000
Pb 0.0000 0.5000 0.5000
Te 0.0000 0.0000 0.0000
Te 0.5000 0.5000 0.0000

Formation energy from raw total energies   0.57 eV/atom
Crystal system   tetragonal
E   -4.64 eV/atom